[1]
CaAl4Re | SCAN | single point on PBEsol structure

The energy is -18.612 eV/atom. As for the formation energy: 16 meV per atom. The crystal system is cubic.

Lattice parameters (Å, degrees): 5.1869 5.1869 5.1869 60.00 60.00 60.00
With the nearest neighbours (Å) after each atom.
Atoms (fractional coordinates):
Ca 0.0000 0.0000 0.0000  12 Al 3.04, 4 Re 3.18
Al 0.3758 0.3758 0.3758  6 Al 2.58-2.61
Al 0.3758 0.3758 0.8726  6 Al 2.58-2.61
Al 0.3758 0.8726 0.3758  6 Al 2.58-2.61
Al 0.8726 0.3758 0.3758  6 Al 2.58-2.61
Re 0.7500 0.7500 0.7500  12 Al 3.04, 4 Ca 3.18

[2]
Zn3AsW | SCAN | single point on PBEsol structure

The energy is -24.660 eV/atom. As for the formation energy: 1425 meV per atom. The crystal system is cubic.

Lattice parameters (Å, degrees): 4.7945 4.7945 4.7945 90.00 90.00 90.00
With the nearest neighbours (Å) after each atom.
Atoms (fractional coordinates):
Zn 0.0000 0.0000 0.5000  2 W 2.40
Zn 0.0000 0.5000 0.0000  2 W 2.40
Zn 0.5000 0.0000 0.0000  2 W 2.40
As 0.5000 0.5000 0.5000  12 Zn 3.39
W 0.0000 0.0000 0.0000  6 Zn 2.40

[3]
MgAlW2 | SCAN | single point on PBEsol structure

The energy is -37.859 eV/atom. As for the formation energy: 167 meV per atom. The crystal system is orthorhombic. The excess energy over the best structure of this formula in the dataset comes out at 0 meV/atom.

Lattice parameters (Å, degrees): 3.1842 4.5052 9.1177 90.00 90.00 90.00
With the nearest neighbours (Å) after each atom.
Atoms (fractional coordinates):
Mg 0.0000 0.0000 0.0000  4 Mg 2.76, 2 W 2.85, 2 Al 2.91
Mg 0.5000 0.5000 0.0000  4 Mg 2.76, 2 W 2.85, 2 Al 2.91
Al 0.0000 0.5000 0.2677  2 W 2.67, 4 Al 2.76, 2 Mg 2.91
Al 0.5000 0.0000 0.2677  2 W 2.67, 4 Al 2.76, 2 Mg 2.91
W 0.0000 0.0000 0.5027  2 Al 2.67, 6 W 2.69-2.76
W 0.0000 0.5000 0.7410  6 W 2.69-2.76, 2 Mg 2.85
W 0.5000 0.0000 0.7410  6 W 2.69-2.76, 2 Mg 2.85
W 0.5000 0.5000 0.5027  2 Al 2.67, 6 W 2.69-2.76

[4]
Sc2BeZnF | SCAN | single point on PBEsol structure

The energy is -10.117 eV/atom. The crystal system is tetragonal.

Lattice parameters (Å, degrees): 5.0216 5.0216 3.9409 90.00 90.00 90.00
With the nearest neighbours (Å) after each atom.
Atoms (fractional coordinates):
Sc 0.0000 0.5000 0.0000  2 Zn 2.51
Sc 0.5000 0.0000 0.0000  2 Zn 2.51
Be 0.0000 0.0000 0.5000  2 Zn 1.97
Zn 0.0000 0.0000 0.0000  2 Be 1.97
F 0.5000 0.5000 0.5000  8 Sc 3.19, 4 Be 3.55

[5]
Rb2HPdPb | SCAN | single point on PBEsol structure

The energy is -30.521 eV/atom. The crystal system is tetragonal.

Lattice parameters (Å, degrees): 5.0266 5.0266 4.9692 90.00 90.00 90.00
With the nearest neighbours (Å) after each atom.
Atoms (fractional coordinates):
Rb 0.0000 0.5000 0.0000  2 H 2.51
Rb 0.5000 0.0000 0.0000  2 H 2.51
H 0.0000 0.0000 0.0000  2 Pb 2.48, 4 Rb 2.51
Pd 0.5000 0.5000 0.5000  8 Rb 3.53, 4 Pb 3.55
Pb 0.0000 0.0000 0.5000  2 H 2.48

[6]
Be4ZnRu | SCAN | single point on PBEsol structure

The energy is -11.211 eV/atom. As for the formation energy: -251 meV per atom. The crystal system is cubic.

Lattice parameters (Å, degrees): 4.3026 4.3026 4.3026 60.00 60.00 60.00
With the nearest neighbours (Å) after each atom.
Atoms (fractional coordinates):
Be 0.1234 0.1234 0.1234  6 Be 2.12-2.18
Be 0.1234 0.1234 0.6297  6 Be 2.12-2.18
Be 0.1234 0.6297 0.1234  6 Be 2.12-2.18
Be 0.6297 0.1234 0.1234  6 Be 2.12-2.18
Zn 0.5000 0.5000 0.5000  12 Be 2.53, 4 Ru 2.63
Ru 0.7500 0.7500 0.7500  12 Be 2.52, 4 Zn 2.63

[7]
ScTa2BTe | SCAN | single point on PBEsol structure

The energy is -38.135 eV/atom. The crystal system is tetragonal.

Lattice parameters (Å, degrees): 4.2878 4.2878 5.0210 90.00 90.00 90.00
With the nearest neighbours (Å) after each atom.
Atoms (fractional coordinates):
Sc 0.0000 0.0000 0.0000  4 Te 3.03, 8 Ta 3.30
Ta 0.0000 0.5000 0.5000  2 B 2.14
Ta 0.5000 0.0000 0.5000  2 B 2.14
B 0.5000 0.5000 0.5000  4 Ta 2.14
Te 0.5000 0.5000 0.0000  2 B 2.51

[8]
NiAgBiAs2 | SCAN | single point on PBEsol structure

The energy is -32.068 eV/atom. As for the formation energy: 1232 meV per atom. The crystal system is tetragonal.

Lattice parameters (Å, degrees): 4.8160 4.8160 5.4309 90.00 90.00 90.00
With the nearest neighbours (Å) after each atom.
Atoms (fractional coordinates):
Ni 0.0000 0.0000 0.0000  4 Bi 3.41, 8 As 3.63
Ag 0.5000 0.5000 0.5000  4 As 2.41
Bi 0.5000 0.5000 0.0000  2 Ag 2.72
As 0.0000 0.5000 0.5000  2 Ag 2.41
As 0.5000 0.0000 0.5000  2 Ag 2.41

[9]
Cs2HgSbCl6 | SCAN | single point on PBEsol structure

The energy is -24.255 eV/atom. The crystal system is cubic.

Lattice parameters (Å, degrees): 7.6709 7.6709 7.6709 60.00 60.00 60.00
With the nearest neighbours (Å) after each atom.
Atoms (fractional coordinates):
Cs 0.2500 0.2500 0.2500  12 Cl 3.84
Cs 0.7500 0.7500 0.7500  12 Cl 3.84
Hg 0.0000 0.0000 0.0000  6 Cl 2.81
Sb 0.5000 0.5000 0.5000  6 Cl 2.62
Cl 0.2587 0.2587 0.7413  1 Sb 2.62, 1 Hg 2.81
Cl 0.2587 0.7413 0.2587  1 Sb 2.62, 1 Hg 2.81
Cl 0.2587 0.7413 0.7413  1 Sb 2.62, 1 Hg 2.81
Cl 0.7413 0.2587 0.2587  1 Sb 2.62, 1 Hg 2.81
Cl 0.7413 0.2587 0.7413  1 Sb 2.62, 1 Hg 2.81
Cl 0.7413 0.7413 0.2587  1 Sb 2.62, 1 Hg 2.81

[10]
Al3Pb5F19 | SCAN | single point on PBEsol structure

The energy is -20.461 eV/atom. The crystal system is tetragonal. The excess energy over the best structure of this formula in the dataset comes out at 0 meV/atom.

Lattice parameters (Å, degrees): 10.6150 10.6150 10.6150 97.04 97.04 139.01
With the nearest neighbours (Å) after each atom.
Atoms (fractional coordinates):
Al 0.0000 0.0000 0.0000  6 F 1.79-1.89
Al 0.0471 0.5471 0.1778  6 F 1.78-1.84
Al 0.3693 0.8693 0.8222  6 F 1.78-1.84
Al 0.5000 0.5000 0.0000  6 F 1.79-1.89
Al 0.5471 0.3693 0.5000  6 F 1.78-1.84
Al 0.8693 0.0471 0.5000  6 F 1.78-1.84
Pb 0.0548 0.5548 0.5000  6 F 2.42-2.49
Pb 0.0966 0.9472 0.7026  4 F 2.33-2.58
Pb 0.2446 0.3939 0.2974  4 F 2.33-2.58
Pb 0.3939 0.0966 0.1494  4 F 2.33-2.58
Pb 0.4472 0.5966 0.7026  4 F 2.33-2.58
Pb 0.5548 0.0548 0.5000  6 F 2.42-2.49
Pb 0.5966 0.8939 0.1494  4 F 2.33-2.58
Pb 0.7446 0.4472 0.8506  4 F 2.33-2.58
Pb 0.8939 0.7446 0.2974  4 F 2.33-2.58
Pb 0.9472 0.2446 0.8506  4 F 2.33-2.58
F 0.0616 0.8922 0.9381  1 Al 1.79
F 0.0633 0.7960 0.5000  3 Pb 2.33-2.49
F 0.1059 0.7461 0.1355  1 Al 1.83
F 0.1106 0.2461 0.6402  1 Al 1.83
F 0.1143 0.7407 0.7596  1 Al 1.84
F 0.1235 0.0616 0.1695  1 Al 1.79
F 0.2269 0.7269 0.3447  1 Al 1.81
F 0.2407 0.6143 0.7596  1 Al 1.84
F 0.2461 0.6059 0.1355  1 Al 1.83
F 0.2537 0.2537 0.0000  2 Al 1.83-1.89
F 0.2960 0.5633 0.5000  3 Pb 2.33-2.49
F 0.3547 0.1143 0.3736  1 Al 1.84
F 0.3714 0.8714 0.9909  1 Al 1.78
F 0.3806 0.3714 0.5000  1 Al 1.78
F 0.3823 0.8823 0.6553  1 Al 1.81
F 0.3922 0.5616 0.9381  1 Al 1.79
F 0.4540 0.3922 0.8305  1 Al 1.79
F 0.4704 0.1106 0.8645  1 Al 1.83
F 0.4811 0.2407 0.6264  1 Al 1.84
F 0.5616 0.6235 0.1695  1 Al 1.79
F 0.5633 0.0633 0.2673  3 Pb 2.33-2.49
F 0.6059 0.4704 0.3598  1 Al 1.83
F 0.6106 0.9704 0.8645  1 Al 1.83
F 0.6143 0.8547 0.3736  1 Al 1.84
F 0.6235 0.4540 0.0619  1 Al 1.79
F 0.7269 0.3823 0.5000  1 Al 1.81
F 0.7407 0.9811 0.6264  1 Al 1.84
F 0.7461 0.6106 0.6402  1 Al 1.83
F 0.7537 0.7537 0.0000  2 Al 1.83-1.89
F 0.7960 0.2960 0.7327  3 Pb 2.33-2.49
F 0.8547 0.4811 0.2404  1 Al 1.84
F 0.8714 0.8806 0.5000  1 Al 1.78
F 0.8806 0.3806 0.0091  1 Al 1.78
F 0.8823 0.2269 0.5000  1 Al 1.81
F 0.8922 0.9540 0.8305  1 Al 1.79
F 0.9540 0.1235 0.0619  1 Al 1.79
F 0.9704 0.1059 0.3598  1 Al 1.83
F 0.9811 0.3547 0.2404  1 Al 1.84

[11]
TiPdBr2 | SCAN | single point on PBEsol structure

The energy is -22.213 eV/atom. The crystal system is cubic. The excess energy over the best structure of this formula in the dataset comes out at 0 meV/atom.

Lattice parameters (Å, degrees): 6.6083 6.6083 6.6083 90.00 90.00 90.00
With the nearest neighbours (Å) after each atom.
Atoms (fractional coordinates):
Ti 0.0000 0.0000 0.0000  8 Br 2.86
Ti 0.0000 0.5000 0.5000  8 Br 2.86
Ti 0.5000 0.0000 0.5000  8 Br 2.86
Ti 0.5000 0.5000 0.0000  8 Br 2.86
Pd 0.0000 0.0000 0.5000  8 Br 2.86
Pd 0.0000 0.5000 0.0000  8 Br 2.86
Pd 0.5000 0.0000 0.0000  8 Br 2.86
Pd 0.5000 0.5000 0.5000  8 Br 2.86
Br 0.2500 0.2500 0.2500  4 Ti 2.86, 4 Pd 2.86
Br 0.2500 0.2500 0.7500  4 Pd 2.86, 4 Ti 2.86
Br 0.2500 0.7500 0.2500  4 Pd 2.86, 4 Ti 2.86
Br 0.2500 0.7500 0.7500  4 Ti 2.86, 4 Pd 2.86
Br 0.7500 0.2500 0.2500  4 Pd 2.86, 4 Ti 2.86
Br 0.7500 0.2500 0.7500  4 Ti 2.86, 4 Pd 2.86
Br 0.7500 0.7500 0.2500  4 Ti 2.86, 4 Pd 2.86
Br 0.7500 0.7500 0.7500  4 Pd 2.86, 4 Ti 2.86

[12]
CoReC2 | SCAN | single point on PBEsol structure

The energy is -26.506 eV/atom. As for the formation energy: 645 meV per atom. The crystal system is tetragonal.

Lattice parameters (Å, degrees): 4.4598 4.4598 8.7124 90.00 90.00 90.00
With the nearest neighbours (Å) after each atom.
Atoms (fractional coordinates):
Co 0.0000 0.0000 0.0000  4 C 1.87
Co 0.0000 0.5000 0.2500  4 C 1.87
Co 0.5000 0.0000 0.7500  4 C 1.87
Co 0.5000 0.5000 0.5000  4 C 1.87
Re 0.0000 0.0000 0.5000  4 C 1.96
Re 0.0000 0.5000 0.7500  4 C 1.96
Re 0.5000 0.0000 0.2500  4 C 1.96
Re 0.5000 0.5000 0.0000  4 C 1.96
C 0.2329 0.2500 0.1250  2 Co 1.87, 2 Re 1.96
C 0.2500 0.7329 0.3750  2 Co 1.87, 2 Re 1.96
C 0.2500 0.7671 0.8750  2 Co 1.87, 2 Re 1.96
C 0.2671 0.2500 0.6250  2 Co 1.87, 2 Re 1.96
C 0.7329 0.7500 0.6250  2 Co 1.87, 2 Re 1.96
C 0.7500 0.2329 0.8750  2 Co 1.87, 2 Re 1.96
C 0.7500 0.2671 0.3750  2 Co 1.87, 2 Re 1.96
C 0.7671 0.7500 0.1250  2 Co 1.87, 2 Re 1.96